Record 1
Entry from Alexandria: an optimized crystal structure of CeHo3Se4 (PBE).

Properties
- symmetry = P2/c
- size of the total moment (μB/f.u.) = 1.1
- energy above the most stable polymorph in this dataset (eV per atom) = 0.000
- calculated total energy (eV per atom) = -5.95
- DOS at the Fermi energy (states/eV/f.u.) = 8.514
- E_form (uncorrected) (eV/atom) = -1.75

abc: 7.1277 8.1399 7.0796
angles: 90.00 109.28 90.00
Last column: nearest neighbours and their distance in Å.
Fractional positions:
Ce 0.0000 0.1225 0.2500  6 Se 2.94-2.96
Ce 0.0000 0.8775 0.7500  6 Se 2.94-2.96
Ho 0.0000 0.3709 0.7500  6 Se 2.87-2.91
Ho 0.0000 0.6291 0.2500  6 Se 2.87-2.91
Ho 0.5000 0.1239 0.7500  6 Se 2.84-2.91
Ho 0.5000 0.3737 0.2500  6 Se 2.83-2.90
Ho 0.5000 0.6263 0.7500  6 Se 2.83-2.90
Ho 0.5000 0.8761 0.2500  6 Se 2.84-2.91
Se 0.2531 0.3801 0.5040  5 Ho 2.85-2.91, 1 Ce 2.96
Se 0.2531 0.6199 0.0040  5 Ho 2.85-2.91, 1 Ce 2.96
Se 0.2599 0.1296 0.0005  4 Ho 2.83-2.88, 2 Ce 2.94-2.95
Se 0.2599 0.8704 0.5005  4 Ho 2.83-2.88, 2 Ce 2.94-2.95
Se 0.7401 0.1296 0.4995  4 Ho 2.83-2.88, 2 Ce 2.94-2.95
Se 0.7401 0.8704 0.9995  4 Ho 2.83-2.88, 2 Ce 2.94-2.95
Se 0.7469 0.3801 0.9960  5 Ho 2.85-2.91, 1 Ce 2.96
Se 0.7469 0.6199 0.4960  5 Ho 2.85-2.91, 1 Ce 2.96

***

Record 2
Entry from Alexandria: an optimized crystal structure of Th2MgCu12Ni3 (PBE).

Properties
- symmetry = R-3m
- size of the total moment (μB/f.u.) = 0.0
- energy of formation (eV per atom) = 0.036
- calculated total energy (eV per atom) = -4.57
- DOS at the Fermi energy (states/eV/f.u.) = 5.420

abc: 6.4629 6.4629 6.4629
angles: 82.33 82.33 82.33
Last column: nearest neighbours and their distance in Å.
Fractional positions:
Th 0.2469 0.2469 0.2469  3 Ni 2.69, 6 Cu 2.88-2.96
Th 0.7531 0.7531 0.7531  3 Ni 2.69, 6 Cu 2.88-2.96
Mg 0.5000 0.5000 0.5000  6 Cu 2.43
Cu 0.0755 0.0755 0.6580  6 Cu 2.45-2.72
Cu 0.0755 0.6580 0.0755  6 Cu 2.45-2.72
Cu 0.2181 0.7010 0.7010  1 Mg 2.43, 5 Cu 2.45-2.58, 1 Ni 2.61
Cu 0.2990 0.2990 0.7819  1 Mg 2.43, 5 Cu 2.45-2.58, 1 Ni 2.61
Cu 0.2990 0.7819 0.2990  1 Mg 2.43, 5 Cu 2.45-2.58, 1 Ni 2.61
Cu 0.3420 0.9245 0.9245  6 Cu 2.45-2.72
Cu 0.6580 0.0755 0.0755  6 Cu 2.45-2.72
Cu 0.7010 0.2181 0.7010  1 Mg 2.43, 5 Cu 2.45-2.58, 1 Ni 2.61
Cu 0.7010 0.7010 0.2181  1 Mg 2.43, 5 Cu 2.45-2.58, 1 Ni 2.61
Cu 0.7819 0.2990 0.2990  1 Mg 2.43, 5 Cu 2.45-2.58, 1 Ni 2.61
Cu 0.9245 0.3420 0.9245  6 Cu 2.45-2.72
Cu 0.9245 0.9245 0.3420  6 Cu 2.45-2.72
Ni 0.0000 0.5000 0.5000  10 Cu 2.61-2.89, 2 Th 2.69
Ni 0.5000 0.0000 0.5000  10 Cu 2.61-2.89, 2 Th 2.69
Ni 0.5000 0.5000 0.0000  10 Cu 2.61-2.89, 2 Th 2.69

***

Record 3
Entry from Alexandria: an optimized crystal structure of PmTm6Ga3 (PBE).

Properties
- symmetry = Cmc2_1
- size of the total moment (μB/f.u.) = 0.0
- energy of formation (eV per atom) = -0.310
- calculated total energy (eV per atom) = -4.38
- DOS at the Fermi energy (states/eV/f.u.) = 10.704

abc: 8.2172 8.2172 8.2036
angles: 90.00 90.00 100.53
Last column: nearest neighbours and their distance in Å.
Fractional positions:
Pm 0.1714 0.8286 0.5000  2 Ga 3.02-3.36
Pm 0.8286 0.1714 0.0000  2 Ga 3.02-3.36
Tm 0.0939 0.4442 0.7233  2 Ga 3.06-3.15
Tm 0.0971 0.2334 0.3635  4 Ga 2.84-3.02
Tm 0.2334 0.0971 0.8635  4 Ga 2.84-3.02
Tm 0.2772 0.7228 0.0202  3 Ga 2.81-2.86
Tm 0.4442 0.0939 0.2233  2 Ga 3.06-3.15
Tm 0.4658 0.5342 0.3447  4 Ga 3.11-3.18
Tm 0.5342 0.4658 0.8447  4 Ga 3.11-3.18
Tm 0.5558 0.9061 0.7233  2 Ga 3.06-3.15
Tm 0.7228 0.2772 0.5202  3 Ga 2.81-2.86
Tm 0.7666 0.9029 0.3635  4 Ga 2.84-3.02
Tm 0.9029 0.7666 0.8635  4 Ga 2.84-3.02
Tm 0.9061 0.5558 0.2233  2 Ga 3.06-3.15
Ga 0.0714 0.9286 0.1653  7 Tm 2.86-3.15, 1 Pm 3.02
Ga 0.2209 0.3778 0.0625  5 Tm 2.81-3.11
Ga 0.3778 0.2209 0.5625  5 Tm 2.81-3.11
Ga 0.6222 0.7791 0.0625  5 Tm 2.81-3.11
Ga 0.7791 0.6222 0.5625  5 Tm 2.81-3.11
Ga 0.9286 0.0714 0.6653  7 Tm 2.86-3.15, 1 Pm 3.02

***

Record 4
Entry from Alexandria: an optimized crystal structure of PuTiTcPt (PBE).

Properties
- symmetry = F-43m
- size of the total moment (μB/f.u.) = 4.8
- energy of formation (eV per atom) = -0.370
- calculated total energy (eV per atom) = -10.03
- DOS at the Fermi energy (states/eV/f.u.) = 6.718

abc: 6.5745 6.5745 6.5745
angles: 90.00 90.00 90.00
Last column: nearest neighbours and their distance in Å.
Fractional positions:
Pu 0.0000 0.0000 0.0000  4 Tc 2.85, 4 Pt 2.85
Pu 0.0000 0.5000 0.5000  4 Tc 2.85, 4 Pt 2.85
Pu 0.5000 0.0000 0.5000  4 Tc 2.85, 4 Pt 2.85
Pu 0.5000 0.5000 0.0000  4 Tc 2.85, 4 Pt 2.85
Ti 0.0000 0.0000 0.5000  4 Tc 2.85, 4 Pt 2.85
Ti 0.0000 0.5000 0.0000  4 Tc 2.85, 4 Pt 2.85
Ti 0.5000 0.0000 0.0000  4 Tc 2.85, 4 Pt 2.85
Ti 0.5000 0.5000 0.5000  4 Pt 2.85, 4 Tc 2.85
Tc 0.2500 0.2500 0.2500  4 Pu 2.85, 4 Ti 2.85
Tc 0.2500 0.7500 0.7500  4 Pu 2.85, 4 Ti 2.85
Tc 0.7500 0.2500 0.7500  4 Pu 2.85, 4 Ti 2.85
Tc 0.7500 0.7500 0.2500  4 Pu 2.85, 4 Ti 2.85
Pt 0.2500 0.2500 0.7500  4 Pu 2.85, 4 Ti 2.85
Pt 0.2500 0.7500 0.2500  4 Pu 2.85, 4 Ti 2.85
Pt 0.7500 0.2500 0.2500  4 Pu 2.85, 4 Ti 2.85
Pt 0.7500 0.7500 0.7500  4 Pu 2.85, 4 Ti 2.85

***

Record 5
Entry from Alexandria: an optimized crystal structure of MgZnP2S (PBE).

Properties
- symmetry = P4/mmm
- size of the total moment (μB/f.u.) = 0.3
- energy above the most stable polymorph in this dataset (eV per atom) = 0.000
- calculated total energy (eV per atom) = -3.00
- DOS at the Fermi energy (states/eV/f.u.) = 4.988
- E_form (uncorrected) (eV/atom) = 0.57

abc: 4.5504 4.5504 4.9849
angles: 90.00 90.00 90.00
Last column: nearest neighbours and their distance in Å.
Fractional positions:
Mg 0.0000 0.0000 0.0000  4 S 3.22, 8 P 3.37
Zn 0.5000 0.5000 0.5000  4 P 2.28, 2 S 2.49
P 0.0000 0.5000 0.5000  2 Zn 2.28
P 0.5000 0.0000 0.5000  2 Zn 2.28
S 0.5000 0.5000 0.0000  2 Zn 2.49

***

Record 6
Entry from Alexandria: an optimized crystal structure of BeTl2Se (PBE).

Properties
- symmetry = I-42d
- size of the total moment (μB/f.u.) = 0.0
- energy above the most stable polymorph in this dataset (eV per atom) = 0.476
- calculated total energy (eV per atom) = -2.70
- DOS at the Fermi energy (states/eV/f.u.) = 0.751
- E_form (uncorrected) (eV/atom) = 0.28

abc: 6.3727 6.3727 11.5361
angles: 90.00 90.00 90.00
Last column: nearest neighbours and their distance in Å.
Fractional positions:
Be 0.0000 0.0000 0.0000  4 Tl 2.51
Be 0.0000 0.5000 0.2500  4 Tl 2.51
Be 0.5000 0.0000 0.7500  4 Tl 2.51
Be 0.5000 0.5000 0.5000  4 Tl 2.51
Tl 0.2020 0.2500 0.1250  2 Be 2.51
Tl 0.2500 0.7020 0.3750  2 Be 2.51
Tl 0.2500 0.7980 0.8750  2 Be 2.51
Tl 0.2980 0.2500 0.6250  2 Be 2.51
Tl 0.7020 0.7500 0.6250  2 Be 2.51
Tl 0.7500 0.2020 0.8750  2 Be 2.51
Tl 0.7500 0.2980 0.3750  2 Be 2.51
Tl 0.7980 0.7500 0.1250  2 Be 2.51
Se 0.0000 0.0000 0.5000  4 Tl 2.87
Se 0.0000 0.5000 0.7500  4 Tl 2.87
Se 0.5000 0.0000 0.2500  4 Tl 2.87
Se 0.5000 0.5000 0.0000  4 Tl 2.87

***

Record 7
Entry from Alexandria: an optimized crystal structure of LiScMn2 (PBE).

Properties
- symmetry = P2/m
- size of the total moment (μB/f.u.) = 0.0
- energy above the most stable polymorph in this dataset (eV per atom) = 0.251
- energy of formation (eV per atom) = 0.413
- calculated total energy (eV per atom) = -6.23
- DOS at the Fermi energy (states/eV/f.u.) = 2.253

abc: 2.9218 4.4183 4.2168
angles: 90.00 97.87 90.00
Last column: nearest neighbours and their distance in Å.
Fractional positions:
Li 0.0000 0.0000 0.0000  2 Sc 2.40, 4 Mn 2.48
Sc 0.5000 0.0000 0.5000  2 Li 2.40
Mn 0.1718 0.5000 0.7740  3 Mn 2.27-2.51, 2 Li 2.48
Mn 0.8282 0.5000 0.2260  3 Mn 2.27-2.51, 2 Li 2.48

***

Record 8
Entry from Alexandria: an optimized crystal structure of Al2Hg (PBE).

Properties
- symmetry = P-62m
- size of the total moment (μB/f.u.) = 0.0
- energy above the most stable polymorph in this dataset (eV per atom) = 0.086
- energy of formation (eV per atom) = 0.193
- calculated total energy (eV per atom) = -2.40
- DOS at the Fermi energy (states/eV/f.u.) = 0.582

abc: 7.3861 7.3861 3.7601
angles: 90.00 90.00 120.00
Last column: nearest neighbours and their distance in Å.
Fractional positions:
Al 0.0000 0.2789 0.0000  4 Hg 2.69-2.79
Al 0.0000 0.6136 0.5000  5 Hg 2.85-2.96, 6 Al 3.11-3.17
Al 0.2789 0.0000 0.0000  4 Hg 2.69-2.79
Al 0.3864 0.3864 0.5000  5 Hg 2.85-2.96, 6 Al 3.11-3.17
Al 0.6136 0.0000 0.5000  5 Hg 2.85-2.96, 6 Al 3.11-3.17
Al 0.7211 0.7211 0.0000  4 Hg 2.69-2.79
Hg 0.0000 0.0000 0.5000  9 Al 2.79-2.85
Hg 0.3333 0.6667 0.0000  9 Al 2.69-2.96
Hg 0.6667 0.3333 0.0000  9 Al 2.69-2.96